(1)
Material: Li2Tl3Pb
Method: DFT, GGA-PBE
State: relaxed

Properties
Energy ... -15.486 eV per cell
Density ... 9.48 Mg/m³
Volume ... 24.3 Å³/atom
Density of states at the Fermi level ... 1.37 states/eV/cell
Spin magnetization ... 0.0 Bohr magnetons per cell
Energy of formation from the pure elements ... -0.14 eV/atom

Cell: 3.496 3.496 11.952 Å, 90.00 90.00 90.00°
Fractional coordinates of all 6 atoms:
Li 0.000 0.000 0.146
Li 0.000 0.000 0.854
Tl 0.500 0.500 0.000
Tl 0.500 0.500 0.296
Tl 0.500 0.500 0.704
Pb 0.000 0.000 0.500

***

(2)
Material: CrCu2Te
Method: DFT, GGA-PBE
State: relaxed

Properties
Energy ... -18.561 eV per cell
ΔE_f (raw) ... 0.60 eV/atom
Density ... 7.31 Mg/m³
Volume ... 17.4 Å³/atom
Density of states at the Fermi level ... 4.97 states/eV/cell
Spin magnetization ... 3.5 Bohr magnetons per cell

Cell: 8.573 8.573 8.573 Å, 20.81 20.81 20.81°
Fractional coordinates of all 4 atoms:
Cr 0.000 0.000 0.000
Cu 0.258 0.258 0.258
Cu 0.742 0.742 0.742
Te 0.500 0.500 0.500

***

(3)
Material: Nb2Te4Br
Method: DFT, GGA-PBE
State: relaxed

Properties
Energy ... -72.801 eV per cell
ΔE_f (raw) ... -0.29 eV/atom
Density ... 6.38 Mg/m³
Volume ... 28.9 Å³/atom
Density of states at the Fermi level ... 2.75 states/eV/cell
Spin magnetization ... 0.0 Bohr magnetons per cell

Cell: 7.485 7.689 8.531 Å, 116.78 110.17 90.06°
Fractional coordinates of all 14 atoms:
Nb 0.000 0.000 0.000
Nb 0.000 0.391 0.000
Nb 0.043 0.904 0.415
Nb 0.608 0.872 0.353
Te 0.231 0.130 0.869
Te 0.238 0.702 0.011
Te 0.309 0.125 0.374
Te 0.309 0.642 0.374
Te 0.664 0.080 0.769
Te 0.759 0.722 0.054
Te 0.870 0.729 0.569
Te 0.871 0.232 0.570
Br 0.310 0.546 0.697
Br 0.875 0.302 0.212

***

(4)
Material: MoP2Ru
Method: DFT, GGA-PBE
State: relaxed

Properties
Energy ... -62.109 eV per cell
Density ... 5.76 Mg/m³
Volume ... 18.7 Å³/atom
Density of states at the Fermi level ... 5.15 states/eV/cell
Spin magnetization ... 0.0 Bohr magnetons per cell
Energy of formation from the pure elements ... -0.03 eV/atom

Cell: 6.379 6.379 6.379 Å, 129.84 129.84 73.67°
Fractional coordinates of all 8 atoms:
Mo 0.000 0.000 0.000
Mo 0.750 0.250 0.500
P 0.138 0.625 0.013
P 0.375 0.388 0.513
P 0.612 0.125 0.987
P 0.875 0.862 0.487
Ru 0.250 0.750 0.500
Ru 0.500 0.500 0.000